# 1
This record from the Alexandria database describes crystalline YTm2ThP4 at its relaxed geometry. The functional is PBE-GGA.

Energy relative to the elements   -1.608 eV per atom
Total magnetization   0.00 μB per formula unit

Cell lengths 6.944, 4.024, 6.954 Å; angles 90.00, 109.49, 90.00 degrees
Space group P2/m (No. 10)
Symmetry-distinct sites (fractional):
Y (0.000, 0.000, 0.000) x1
Tm (0.500, 0.000, 0.500) x1
Tm (0.500, 0.500, 0.000) x1
Th (0.000, 0.500, 0.500) x1
P (0.256, 0.500, 0.250) x2
P (0.259, 0.000, 0.756) x2

***

# 2
This record from the Alexandria database describes crystalline Nd2ZnSnGe at its relaxed geometry. The functional is PBE-GGA.

Energy relative to the elements   -0.637 eV per atom
Total magnetization   0.00 μB per formula unit

Cell lengths 7.620, 4.515, 7.781 Å; angles 90.00, 90.00, 90.00 degrees
Space group P2_1/m (No. 11)
Symmetry-distinct sites (fractional):
Nd (0.002, 0.250, 0.221) x2
Nd (0.497, 0.250, 0.221) x2
Zn (0.249, 0.750, 0.406) x2
Sn (0.250, 0.250, 0.594) x2
Ge (0.250, 0.750, 0.087) x2

***

Among the records above, which one has the lowest energy relative to the elements? YTm2ThP4

***

Which of these has the lowest energy relative to the elements? YTm2ThP4